[1]
Material: YbFe4Pb6
Method: DFT, PBE
State: relaxed

Unit cell a=7.1090 b=7.1090 c=7.0837 alpha=119.83 beta=119.83 gamma=90.31
Element x y z (fractional)
Yb (0.0000, 0.0000, 0.0000)
Fe (0.2954, 0.5884, 0.9993)
Fe (0.4114, 0.4114, 0.7068)
Fe (0.5884, 0.2954, 0.9993)
Fe (0.7035, 0.7035, 0.2910)
Pb (0.0001, 0.4999, 0.4990)
Pb (0.0867, 0.0867, 0.6225)
Pb (0.4634, 0.4634, 0.3754)
Pb (0.4999, 0.0001, 0.4990)
Pb (0.5362, 0.9132, 0.9995)
Pb (0.9132, 0.5362, 0.9995)

E: -5.09 eV per atom
M_tot: 0.8619 μB per atom
Formation energy from the elements: 144 meV per atom



[2]
Material: TiPS2
Method: DFT, PBE
State: relaxed

Unit cell a=8.0155 b=8.0155 c=8.0155 alpha=23.66 beta=23.66 gamma=23.66
Element x y z (fractional)
Ti (0.0000, 0.0000, 0.0000)
P (0.5000, 0.5000, 0.5000)
S (0.3975, 0.3975, 0.3975)
S (0.6025, 0.6025, 0.6025)

E: -5.97 eV per atom
Formation energy from raw total energies: -55.5 kJ per mole of atoms
M_tot: 0.0000 μB per atom



[3]
Material: NbAu2Cl8
Method: DFT, PBE
State: relaxed

Unit cell a=8.5109 b=8.5109 c=7.5824 alpha=112.23 beta=112.23 gamma=46.32
Element x y z (fractional)
Nb (0.0000, 0.0000, 0.0000)
Au (0.2428, 0.2428, 0.4616)
Au (0.7572, 0.7572, 0.5384)
Cl (0.0820, 0.0820, 0.3676)
Cl (0.1418, 0.6546, 0.0208)
Cl (0.3454, 0.8582, 0.9792)
Cl (0.3982, 0.3982, 0.5455)
Cl (0.6018, 0.6018, 0.4545)
Cl (0.6546, 0.1418, 0.0208)
Cl (0.8582, 0.3454, 0.9792)
Cl (0.9180, 0.9180, 0.6324)

E: -3.51 eV per atom
Formation energy from raw total energies: -63.2 kJ per mole of atoms
M_tot: 0.0000 μB per atom



[4]
Material: AgHgAs
Method: DFT, PBE
State: relaxed

Unit cell a=7.3874 b=7.3874 c=7.3874 alpha=156.72 beta=156.72 gamma=33.16
Element x y z (fractional)
Ag (0.0000, 0.0000, 0.0000)
Hg (0.3334, 0.3334, 0.0000)
As (0.6426, 0.6426, 0.0000)

E: -2.38 eV per atom
M_tot: 0.0000 μB per atom
Formation energy from the elements: 226 meV per atom



[5]
Material: BaFe2HgPd
Method: DFT, PBE
State: relaxed

Unit cell a=4.9062 b=4.9062 c=5.9380 alpha=90.00 beta=90.00 gamma=90.00
Element x y z (fractional)
Ba (0.0000, 0.0000, 0.0000)
Fe (0.0000, 0.5000, 0.5000)
Fe (0.5000, 0.0000, 0.5000)
Hg (0.5000, 0.5000, 0.0000)
Pd (0.0000, 0.0000, 0.5000)

E: -4.23 eV per atom
M_tot: 1.3175 μB per atom
Formation energy from the elements: 639 meV per atom



[6]
Material: K2LaRu
Method: DFT, PBE
State: relaxed

Unit cell a=4.3480 b=4.3480 c=6.4629 alpha=90.00 beta=90.00 gamma=90.00
Element x y z (fractional)
K (0.0000, 0.5000, 0.0000)
K (0.5000, 0.0000, 0.0000)
La (0.0000, 0.0000, 0.5000)
Ru (0.5000, 0.5000, 0.5000)

E: -3.40 eV per atom
M_tot: 0.2335 μB per atom
Formation energy from the elements: 701 meV per atom



[7]
Material: TbPtI
Method: DFT, PBE
State: relaxed

Unit cell a=7.7901 b=7.5883 c=9.1400 alpha=54.56 beta=52.52 gamma=72.92
Element x y z (fractional)
Tb (0.1576, 0.8424, 0.2785)
Tb (0.5285, 0.9715, 0.4076)
Tb (0.8424, 0.1576, 0.7215)
Tb (0.9715, 0.5285, 0.0924)
Pt (0.0881, 0.8329, 0.6344)
Pt (0.6156, 0.8054, 0.1619)
Pt (0.8054, 0.6156, 0.4171)
Pt (0.8329, 0.0881, 0.4446)
I (0.3047, 0.3703, 0.4583)
I (0.3703, 0.3047, 0.8667)
I (0.3833, 0.7917, 0.8797)
I (0.7917, 0.3833, 0.9453)

E: -4.98 eV per atom
Formation energy from raw total energies: -87.0 kJ per mole of atoms
M_tot: 0.0000 μB per atom



[8]
Material: Dy2Sc7Cd2
Method: DFT, PBE
State: relaxed

Unit cell a=6.2736 b=6.2736 c=7.4389 alpha=101.23 beta=101.23 gamma=89.55
Element x y z (fractional)
Dy (0.1838, 0.8162, 0.0000)
Dy (0.8162, 0.1838, 0.0000)
Sc (0.0000, 0.0000, 0.5000)
Sc (0.1160, 0.5251, 0.3299)
Sc (0.3001, 0.3001, 0.9681)
Sc (0.4749, 0.8840, 0.6701)
Sc (0.5251, 0.1160, 0.3299)
Sc (0.6999, 0.6999, 0.0319)
Sc (0.8840, 0.4749, 0.6701)
Cd (0.4065, 0.4065, 0.6559)
Cd (0.5935, 0.5935, 0.3441)

E: -4.98 eV per atom
M_tot: 0.0006 μB per atom
Formation energy from the elements: 52 meV per atom



[9]
Material: CaScTa2
Method: DFT, PBE
State: relaxed

Unit cell a=5.0975 b=5.0975 c=6.3199 alpha=93.81 beta=93.81 gamma=34.37
Element x y z (fractional)
Ca (0.0000, 0.0000, 0.0000)
Sc (0.2349, 0.2349, 0.6926)
Ta (0.4956, 0.4956, 0.4667)
Ta (0.7584, 0.7584, 0.2967)

E: -7.58 eV per atom
M_tot: 0.0000 μB per atom
Formation energy from the elements: 429 meV per atom



[10]
Material: PrMg3Au3
Method: DFT, PBE
State: relaxed

Unit cell a=7.2277 b=7.2277 c=7.2277 alpha=90.00 beta=90.00 gamma=90.00
Element x y z (fractional)
Pr (0.0000, 0.0000, 0.0000)
Pr (0.5000, 0.5000, 0.5000)
Mg (0.0000, 0.2500, 0.5000)
Mg (0.0000, 0.7500, 0.5000)
Mg (0.2500, 0.5000, 0.0000)
Mg (0.5000, 0.0000, 0.2500)
Mg (0.5000, 0.0000, 0.7500)
Mg (0.7500, 0.5000, 0.0000)
Au (0.0000, 0.5000, 0.2500)
Au (0.0000, 0.5000, 0.7500)
Au (0.2500, 0.0000, 0.5000)
Au (0.5000, 0.2500, 0.0000)
Au (0.5000, 0.7500, 0.0000)
Au (0.7500, 0.0000, 0.5000)

E: -2.92 eV per atom
M_tot: 0.0000 μB per atom
Formation energy from the elements: -151 meV per atom



[11]
Material: BaNa2CuMo
Method: DFT, PBE
State: relaxed

Unit cell a=5.7630 b=5.7630 c=5.9005 alpha=90.00 beta=90.00 gamma=90.00
Element x y z (fractional)
Ba (0.0000, 0.0000, 0.0000)
Na (0.0000, 0.5000, 0.5000)
Na (0.5000, 0.0000, 0.5000)
Cu (0.5000, 0.5000, 0.0000)
Mo (0.0000, 0.0000, 0.5000)

E: -2.57 eV per atom
M_tot: 0.6506 μB per atom
Formation energy from the elements: 1323 meV per atom



[12]
Material: Mg6Cd3Ga
Method: DFT, PBE
State: relaxed

Unit cell a=9.3635 b=4.5702 c=10.0379 alpha=90.00 beta=94.78 gamma=90.00
Element x y z (fractional)
Mg (0.0481, 0.2500, 0.4024)
Mg (0.1494, 0.7500, 0.1938)
Mg (0.2638, 0.2500, 0.9998)
Mg (0.3507, 0.2500, 0.2994)
Mg (0.3571, 0.7500, 0.8131)
Mg (0.4444, 0.2500, 0.6036)
Mg (0.5556, 0.7500, 0.3964)
Mg (0.6429, 0.2500, 0.1869)
Mg (0.6493, 0.7500, 0.7006)
Mg (0.7362, 0.7500, 0.0002)
Mg (0.8506, 0.2500, 0.8062)
Mg (0.9519, 0.7500, 0.5976)
Cd (0.0469, 0.7500, 0.8990)
Cd (0.1510, 0.2500, 0.7039)
Cd (0.2564, 0.7500, 0.4942)
Cd (0.7436, 0.2500, 0.5058)
Cd (0.8490, 0.7500, 0.2961)
Cd (0.9531, 0.2500, 0.1010)
Ga (0.4469, 0.7500, 0.1121)
Ga (0.5531, 0.2500, 0.8879)

E: -1.62 eV per atom
M_tot: 0.0000 μB per atom
Formation energy from the elements: -82 meV per atom